# 1
Entry from Alexandria via LeMat-Bulk: a geometry-optimized Tl2HgPd structure (PBE).

POSCAR file:
```
Tl2HgPd
1.0
-4.554 4.554 2.743
4.554 -4.554 2.743
4.554 4.554 -2.743
Tl Hg Pd
4 2 2
direct
0.031 0.625 0.906
0.375 0.281 0.406
0.719 0.125 0.094
0.875 0.969 0.594
0.250 0.750 0.500
0.500 0.500 0.000
0.000 0.000 0.000
0.750 0.250 0.500
```

## Properties
calculated volume	228	Å³ per cell
energy of formation from the pure elements	0.00	eV/atom
offset from the most stable computed form	60	meV per atom
magnetization	0.000	μB/atom

# 2
Entry from Alexandria via LeMat-Bulk: a geometry-optimized LaPm2H8 structure (PBE).

POSCAR file:
```
LaPm2H8
1.0
-1.913 2.729 5.745
1.913 -2.729 5.745
1.913 2.729 -5.745
La Pm H
1 2 8
direct
0.000 0.000 0.000
0.330 0.330 0.000
0.670 0.670 0.000
0.102 0.836 0.265
0.157 0.657 0.500
0.281 0.500 0.781
0.429 0.164 0.265
0.571 0.836 0.735
0.719 0.500 0.219
0.843 0.343 0.500
0.898 0.164 0.735
```

## Properties
calculated volume	120	Å³ per cell
E	-4.36	eV per atom
magnetization	0.000	μB/atom

# 3
Entry from Alexandria via LeMat-Bulk: a geometry-optimized Tm3In structure (PBE).

POSCAR file:
```
Tm3In
1.0
0.000 3.802 3.802
3.802 0.000 3.802
3.802 3.802 0.000
Tm In
3 1
direct
0.000 0.000 0.000
0.250 0.250 0.250
0.750 0.750 0.750
0.500 0.500 0.500
```

## Properties
calculated volume	110	Å³ per cell
energy of formation from the pure elements	-0.11	eV/atom
magnetization	0.082	μB/atom

# 4
Entry from Alexandria via LeMat-Bulk: a geometry-optimized Tl2InSeBr3 structure (PBE).

POSCAR file:
```
Tl2InSeBr3
1.0
-2.708 2.780 8.142
2.708 -2.780 8.142
2.708 2.780 -8.142
Tl In Se Br
2 1 1 3
direct
0.128 0.128 0.000
0.872 0.872 0.000
0.500 0.500 0.000
0.500 0.000 0.500
0.000 0.500 0.500
0.333 0.333 0.000
0.667 0.667 0.000
```

## Properties
calculated volume	245	Å³ per cell
formation energy without anion corrections	-0.649	eV per atom
magnetization	0.000	μB/atom

# 5
Entry from Alexandria via LeMat-Bulk: a geometry-optimized AcPmCd2Hg4 structure (PBE).

POSCAR file:
```
AcPmCd2Hg4
1.0
2.637 1.523 8.656
-2.637 1.523 8.656
0.000 -3.045 8.656
Ac Pm Cd Hg
1 1 2 4
direct
0.000 0.000 0.000
0.500 0.500 0.500
0.250 0.250 0.250
0.750 0.750 0.750
0.129 0.129 0.129
0.380 0.380 0.380
0.620 0.620 0.620
0.871 0.871 0.871
```

## Properties
calculated volume	209	Å³ per cell
energy of formation from the pure elements	-0.41	eV/atom
magnetization	0.000	μB/atom

# 6
Entry from Alexandria via LeMat-Bulk: a geometry-optimized Ce2NpAu structure (PBE).

POSCAR file:
```
Ce2NpAu
1.0
1.845 1.065 7.725
-1.845 1.065 7.725
0.000 -2.130 7.725
Ce Np Au
2 1 1
direct
0.234 0.234 0.234
0.766 0.766 0.766
0.500 0.500 0.500
0.000 0.000 0.000
```

## Properties
calculated volume	91	Å³ per cell
energy of formation from the pure elements	0.06	eV/atom
offset from the most stable computed form	200	meV per atom
magnetization	0.000	μB/atom

# 7
Entry from Alexandria via LeMat-Bulk: a geometry-optimized TlRe4Te structure (PBE).

POSCAR file:
```
TlRe4Te
1.0
0.000 3.799 3.799
3.799 0.000 3.799
3.799 3.799 0.000
Tl Re Te
1 4 1
direct
0.000 0.000 0.000
0.127 0.624 0.624
0.624 0.127 0.624
0.624 0.624 0.127
0.624 0.624 0.624
0.250 0.250 0.250
```

## Properties
calculated volume	110	Å³ per cell
formation energy without anion corrections	0.952	eV per atom
magnetization	0.000	μB/atom

# 8
Entry from Alexandria via LeMat-Bulk: a geometry-optimized PuMg2ZnN4 structure (PBE).

POSCAR file:
```
PuMg2ZnN4
1.0
5.260 0.000 0.000
0.000 3.371 0.000
-1.304 0.000 5.203
Pu Mg Zn N
1 2 1 4
direct
0.000 0.000 0.000
0.000 0.500 0.500
0.500 0.000 0.500
0.500 0.500 0.000
0.215 0.000 0.746
0.255 0.500 0.240
0.745 0.500 0.760
0.785 0.000 0.254
```

## Properties
calculated volume	92	Å³ per cell
formation energy without anion corrections	-0.646	eV per atom
magnetization	0.250	μB/atom